# 1
Crystalline RbBrF3 at its relaxed geometry. Source: Alexandria via LeMat-Bulk, functional PBE.

POSCAR file:
```
RbBrF3
1.0
-4.541 -0.568 -0.560
0.249 -4.085 2.123
-0.758 2.060 4.054
Br Rb F
1 1 3
Direct
0.000 0.000 0.000
0.500 0.500 0.500
0.000 0.500 0.000
0.000 0.000 0.500
0.500 0.000 0.000
```

Properties
Space-group type: No. 221
VASP energy, eV/atom: -3.02
Formation energy (no corrections), eV/atom: -1.37
Distance to the lowest polymorph of the same formula, meV per atom: 249

# 2
Crystalline Rb3Br2F at its relaxed geometry. Source: Alexandria via LeMat-Bulk, functional PBE.

POSCAR file:
```
Rb3Br2F
1.0
-1.341 -4.114 1.267
6.449 -1.719 1.241
-3.235 5.206 5.458
Rb Br F
3 2 1
Direct
0.363 0.363 0.725
0.000 0.000 0.000
0.637 0.637 0.275
0.674 0.174 0.347
0.326 0.826 0.653
0.000 0.500 0.000
```

Properties
Space-group type: No. 71
VASP energy, eV/atom: -3.35
Formation energy (no corrections), eV/atom: -2.00
Distance to the lowest polymorph of the same formula, meV per atom: 9

# 3
Crystalline Rb2Br2F at its relaxed geometry. Source: Alexandria via LeMat-Bulk, functional PBE.

POSCAR file:
```
Rb2Br2F
1.0
-3.052 3.549 -0.199
-2.149 -2.023 -3.639
-9.285 -7.794 10.187
Rb Br F
4 4 2
Direct
0.993 0.520 0.904
0.770 0.743 0.404
0.257 0.230 0.596
0.480 0.007 0.096
0.745 0.729 0.678
0.979 0.495 0.178
0.505 0.021 0.822
0.271 0.255 0.322
0.502 0.498 0.000
0.748 0.252 0.500
```

Properties
Space-group type: No. 15
VASP energy, eV/atom: -3.05
Formation energy (no corrections), eV/atom: -1.62

# 4
Crystalline Rb2BrF2 at its relaxed geometry. Source: Alexandria via LeMat-Bulk, functional PBE.

POSCAR file:
```
Rb2BrF2
1.0
8.032 0.000 0.000
0.000 8.032 0.000
0.000 0.000 3.746
Br Rb F
2 4 4
Direct
0.000 0.000 0.000
0.500 0.500 0.000
0.157 0.657 0.500
0.657 0.843 0.500
0.843 0.343 0.500
0.343 0.157 0.500
0.353 0.853 0.000
0.853 0.647 0.000
0.647 0.147 0.000
0.147 0.353 0.000
```

Properties
Space-group type: No. 127
VASP energy, eV/atom: -3.35
Formation energy (no corrections), eV/atom: -1.88
Distance to the lowest polymorph of the same formula, meV per atom: 0

# 5
Crystalline RbBr2F at its relaxed geometry. Source: Alexandria via LeMat-Bulk, functional PBE.

POSCAR file:
```
RbBr2F
1.0
3.281 0.000 6.816
-1.640 2.841 6.816
-1.640 -2.841 6.816
Br Rb F
2 1 1
Direct
0.895 0.895 0.895
0.105 0.105 0.105
0.500 0.500 0.500
0.000 0.000 0.000
```

Properties
Space-group type: No. 166
VASP energy, eV/atom: -2.53
Formation energy (no corrections), eV/atom: -0.98

# 6
Crystalline Rb4Br3F at its relaxed geometry. Source: Alexandria via LeMat-Bulk, functional PBE.

POSCAR file:
```
Rb4Br3F
1.0
4.731 0.000 0.000
0.000 8.263 -0.028
0.000 -2.632 7.833
Rb Br F
4 3 1
Direct
0.000 0.225 0.225
0.500 0.771 0.229
0.000 0.775 0.775
0.500 0.229 0.771
0.000 0.000 0.500
0.500 0.500 0.500
0.000 0.500 0.000
0.500 0.000 0.000
```

Properties
Space-group type: No. 65
VASP energy, eV/atom: -3.27
Formation energy (no corrections), eV/atom: -1.92
Distance to the lowest polymorph of the same formula, meV per atom: 8

# 7
Crystalline RbBrF4 at its relaxed geometry. Source: Alexandria via LeMat-Bulk, functional PBE.

POSCAR file:
```
RbBrF4
1.0
-0.181 -1.418 -6.991
-5.564 -4.348 1.024
-0.259 6.757 2.296
Br Rb F
2 2 8
Direct
0.500 0.000 0.000
0.000 0.500 0.000
0.500 0.500 0.000
0.000 0.000 0.000
0.988 0.488 0.258
0.728 0.228 0.739
0.012 0.512 0.742
0.228 0.011 0.740
0.272 0.772 0.261
0.489 0.272 0.260
0.772 0.989 0.260
0.511 0.728 0.740
```

Properties
Space-group type: No. 12
VASP energy, eV/atom: -3.28
Formation energy (no corrections), eV/atom: -1.59

# 8
Crystalline Rb4Br2F at its relaxed geometry. Source: Alexandria via LeMat-Bulk, functional PBE.

POSCAR file:
```
Rb4Br2F
1.0
5.657 0.000 0.000
0.000 5.657 0.000
2.829 2.829 9.045
Br Rb F
2 4 1
Direct
0.378 0.378 0.243
0.622 0.622 0.757
0.180 0.180 0.639
0.820 0.820 0.361
0.000 0.500 0.000
0.500 0.000 0.000
0.000 0.000 0.000
```

Properties
Space-group type: No. 139
VASP energy, eV/atom: -2.95
Formation energy (no corrections), eV/atom: -1.65

Q: Which formula does entry 3 have?
A: Rb2Br2F